Record 1
# Pu2GaCu4Si3

Pu2GaCu4Si3 after structural relaxation (PBE, the Alexandria database).

abc: 4.041 4.041 10.006
angles: 90.00 90.00 90.00
Atoms (fractional coordinates):
Pu (0.500, 0.000, 0.243)
Pu (0.000, 0.500, 0.757)
Ga (0.500, 0.500, 0.500)
Cu (0.500, 0.500, 0.000)
Cu (0.000, 0.000, 0.000)
Cu (0.500, 0.000, 0.635)
Cu (0.000, 0.500, 0.365)
Si (0.000, 0.000, 0.500)
Si (0.500, 0.000, 0.867)
Si (0.000, 0.500, 0.133)

Output
**E_tot**: -6.776 eV per atom
**Spin magnetization**: 10.245 μB per cell
**Space-group type**: P-4m2
**V**: 16.339 Å³/atom

---

Record 2
# SmPuGaCu

SmPuGaCu after structural relaxation (PBE, the Alexandria database).

abc: 5.054 5.054 5.054
angles: 60.00 60.00 60.00
Atoms (fractional coordinates):
Cu (0.250, 0.250, 0.250)
Ga (0.750, 0.750, 0.750)
Sm (0.000, 0.000, 0.000)
Pu (0.500, 0.500, 0.500)

Output
**Calculated formation energy**: -0.1852 eV per atom
**E_tot**: -6.729 eV per atom
**Spin magnetization**: 5.919 μB per cell
**Space-group type**: F-43m
**V**: 22.822 Å³/atom

---

Record 3
# PuUGaCu

PuUGaCu after structural relaxation (PBE, the Alexandria database).

abc: 4.806 4.806 4.806
angles: 60.00 60.00 60.00
Atoms (fractional coordinates):
U (0.500, 0.500, 0.500)
Cu (0.250, 0.250, 0.250)
Ga (0.000, 0.000, 0.000)
Pu (0.750, 0.750, 0.750)

Output
**Calculated formation energy**: 0.1054 eV per atom
**E_tot**: -8.080 eV per atom
**Spin magnetization**: 9.565 μB per cell
**Space-group type**: F-43m
**V**: 19.620 Å³/atom

---

Record 4
# PuZn4GaCu2

PuZn4GaCu2 after structural relaxation (PBE, the Alexandria database).

abc: 4.220 4.220 9.283
angles: 76.86 76.86 60.00
Atoms (fractional coordinates):
Pu (0.000, 0.000, 0.000)
Zn (0.402, 0.402, 0.795)
Zn (0.879, 0.879, 0.363)
Zn (0.121, 0.121, 0.637)
Zn (0.598, 0.598, 0.205)
Ga (0.500, 0.500, 0.500)
Cu (0.754, 0.754, 0.737)
Cu (0.246, 0.246, 0.263)

Output
**Calculated formation energy**: 0.0030 eV per atom
**E_tot**: -3.828 eV per atom
**Spin magnetization**: 5.722 μB per cell
**Space-group type**: R-3m
**V**: 17.268 Å³/atom

---

What is the formula in the third record? PuUGaCu

---

Look up the spin magnetization of the second one. 5.919 μB per cell